Entry from OQMD via LeMat-Bulk: ErPt after structural relaxation (PBE).

```
ErPt
1.0
1.9112 1.1034 3.5364
-1.9112 1.1034 3.5364
0.0000 -2.2068 3.5364
Er Pt
1 1
Cartesian
0.0000 0.0000 0.0000
0.0000 0.0000 5.3046
```

Computed properties:
**E_tot**: -6.417 eV/atom


Entry from OQMD via LeMat-Bulk: ErPt after structural relaxation (PBE).

```
ErPt
1.0
0.0000 2.8443 2.8443
2.8443 0.0000 2.8443
2.8443 2.8443 0.0000
Er Pt
1 1
Cartesian
0.0000 0.0000 0.0000
2.8443 2.8443 2.8443
```

Computed properties:
**E_tot**: -6.449 eV/atom


Entry from OQMD via LeMat-Bulk: Er3Pt after structural relaxation (PBE).

```
Er3Pt
1.0
6.9846 0.0000 0.0000
0.0000 9.4353 0.0000
0.0000 0.0000 6.4160
Er Pt
12 4
Cartesian
0.1822 2.3588 0.8295
1.2688 0.5685 4.3580
1.2688 4.1492 4.3580
2.2235 5.2862 1.1500
2.2235 8.8669 1.1500
3.3101 7.0765 4.0375
3.6745 2.3588 2.3785
4.7611 0.5685 5.2660
4.7611 4.1492 5.2660
5.7158 5.2862 2.0580
5.7158 8.8669 2.0580
6.8024 7.0765 5.5865
0.7737 7.0765 2.8948
2.7186 2.3588 6.1029
4.2660 7.0765 0.3132
6.2109 2.3588 3.5212
```

Computed properties:
**E_tot**: -5.671 eV/atom


Entry from OQMD via LeMat-Bulk: ErPt after structural relaxation (PBE).

```
ErPt
1.0
3.8769 0.0000 0.0000
-1.9384 3.3575 0.0000
0.0000 0.0000 3.5543
Er Pt
1 1
Cartesian
0.0000 0.0000 0.0000
1.9384 1.1192 1.7771
```

Computed properties:
**E_tot**: -6.361 eV/atom


Question: Which value of E_tot does entry 4 give?
Answer: -6.361 eV/atom